No. 1
Computed, not measured: an optimized crystal structure of PdC2Cl at the PBE level of DFT.

```
PdC2Cl
1.0
0.0000 2.8771 2.8771
2.8771 0.0000 2.8771
2.8771 2.8771 0.0000
Pd C Cl
1 2 1
Direct
0.0000 0.0000 0.0000
0.2500 0.2500 0.2500
0.7500 0.7500 0.7500
0.5000 0.5000 0.5000
```

Calculated values
Total magnetization, μB/cell: 0.000
Final energy, eV/atom: -3.65
Calculated volume, Å³ per atom: 11.9
Raw formation energy, eV per atom: 2.72
Offset from the most stable computed form, meV per atom: 794
Symmetry: Fm-3m (225)

---

No. 2
Computed, not measured: an optimized crystal structure of Pd2CCl at the PBE level of DFT.

```
Pd2CCl
1.0
-2.8701 2.8701 4.1448
2.8701 -2.8701 4.1448
2.8701 2.8701 -4.1448
Pd C Cl
4 2 2
Direct
0.0280 0.6250 0.9030
0.3750 0.2780 0.4030
0.7220 0.1250 0.0970
0.8750 0.9720 0.5970
0.0000 0.0000 0.0000
0.7500 0.2500 0.5000
0.2500 0.7500 0.5000
0.5000 0.5000 0.0000
```

Calculated values
Total magnetization, μB/cell: 0.000
Final energy, eV/atom: -4.94
Calculated volume, Å³ per atom: 17.1
Raw formation energy, eV per atom: 0.42
Offset from the most stable computed form, meV per atom: 0
Symmetry: I-42d (122)

---

No. 3
Computed, not measured: an optimized crystal structure of PdCCl3 at the PBE level of DFT.

```
PdCCl3
1.0
4.4498 0.0000 0.0000
0.0000 4.4498 0.0000
0.0000 0.0000 4.4498
Pd C Cl
1 1 3
Direct
0.0000 0.0000 0.0000
0.5000 0.5000 0.5000
0.0000 0.5000 0.5000
0.5000 0.0000 0.5000
0.5000 0.5000 0.0000
```

Calculated values
Total magnetization, μB/cell: 1.000
Final energy, eV/atom: -2.86
Calculated volume, Å³ per atom: 17.6
Raw formation energy, eV per atom: 1.13
Offset from the most stable computed form, meV per atom: 0
Symmetry: Pm-3m (221)

---

No. 4
Computed, not measured: an optimized crystal structure of Pd3CCl at the PBE level of DFT.

```
Pd3CCl
1.0
4.2141 0.0000 0.0000
0.0000 4.2141 0.0000
0.0000 0.0000 4.2141
Pd C Cl
3 1 1
Direct
0.0000 0.0000 0.5000
0.0000 0.5000 0.0000
0.5000 0.0000 0.0000
0.0000 0.0000 0.0000
0.5000 0.5000 0.5000
```

Calculated values
Total magnetization, μB/cell: 0.000
Final energy, eV/atom: -4.96
Calculated volume, Å³ per atom: 15.0
Raw formation energy, eV per atom: 0.37
Offset from the most stable computed form, meV per atom: 0
Symmetry: Pm-3m (221)

---

No. 5
Computed, not measured: an optimized crystal structure of Pm4PdCCl2 at the PBE level of DFT.

```
Pm4PdCCl2
1.0
7.2313 0.0000 0.0000
0.0000 3.8761 0.0000
-2.1957 0.0000 6.9005
Pm Pd C Cl
4 1 1 2
Direct
0.2082 0.0000 0.2016
0.2282 0.5000 0.7904
0.7718 0.5000 0.2096
0.7918 0.0000 0.7984
0.5000 0.0000 0.0000
0.0000 0.5000 0.0000
0.0000 0.0000 0.5000
0.5000 0.5000 0.5000
```

Calculated values
Total magnetization, μB/cell: 0.000
Final energy, eV/atom: -5.62
Calculated volume, Å³ per atom: 24.2
Raw formation energy, eV per atom: -0.99
Symmetry: P2/m (10)

---

No. 6
Computed, not measured: an optimized crystal structure of Rb2PdCCl6 at the PBE level of DFT.

```
Rb2PdCCl6
1.0
-3.5629 3.5629 4.5469
3.5629 -3.5629 4.5469
3.5629 3.5629 -4.5469
Rb Pd C Cl
2 1 1 6
Direct
0.2500 0.7500 0.5000
0.7500 0.2500 0.5000
0.0000 0.0000 0.0000
0.5000 0.5000 0.0000
0.2480 0.2480 0.4960
0.2480 0.7520 0.0000
0.2684 0.2684 0.0000
0.7316 0.7316 0.0000
0.7520 0.2480 0.0000
0.7520 0.7520 0.5040
```

Calculated values
Total magnetization, μB/cell: 0.000
Final energy, eV/atom: -3.22
Calculated volume, Å³ per atom: 23.1
Raw formation energy, eV per atom: -0.48
Symmetry: I4/mmm (139)

---

No. 7
Computed, not measured: an optimized crystal structure of PdCSCl2 at the PBE level of DFT.

```
PdCSCl2
1.0
5.1100 0.0000 0.0000
0.0000 5.1100 0.0000
0.0000 0.0000 3.5221
Pd C S Cl
1 1 1 2
Direct
0.0000 0.0000 0.0000
0.5000 0.5000 0.5000
0.5000 0.5000 0.0000
0.0000 0.5000 0.5000
0.5000 0.0000 0.5000
```

Calculated values
Total magnetization, μB/cell: 1.241
Final energy, eV/atom: -3.27
Calculated volume, Å³ per atom: 18.4
Raw formation energy, eV per atom: 1.18
Offset from the most stable computed form, meV per atom: 0
Symmetry: P4/mmm (123)

---

No. 8
Computed, not measured: an optimized crystal structure of PdCS2Cl at the PBE level of DFT.

```
PdCS2Cl
1.0
4.7151 0.0000 0.0000
0.0000 4.7151 0.0000
0.0000 0.0000 4.8158
Pd C S Cl
1 1 2 1
Direct
0.0000 0.0000 0.0000
0.5000 0.5000 0.5000
0.0000 0.5000 0.0000
0.5000 0.0000 0.0000
0.0000 0.0000 0.5000
```

Calculated values
Total magnetization, μB/cell: 0.395
Final energy, eV/atom: -3.18
Calculated volume, Å³ per atom: 21.4
Raw formation energy, eV per atom: 1.72
Offset from the most stable computed form, meV per atom: 596
Symmetry: P4/mmm (123)

---

No. 9
Computed, not measured: an optimized crystal structure of PdCS2Cl at the PBE level of DFT.

```
PdCS2Cl
1.0
3.7688 0.0000 0.0000
0.0000 3.7688 0.0000
0.0000 0.0000 6.8776
Pd C S Cl
1 1 2 1
Direct
0.0000 0.0000 0.0000
0.5000 0.5000 0.5000
0.0000 0.5000 0.5000
0.5000 0.0000 0.5000
0.5000 0.5000 0.0000
```

Calculated values
Total magnetization, μB/cell: 0.000
Final energy, eV/atom: -3.78
Calculated volume, Å³ per atom: 19.5
Raw formation energy, eV per atom: 1.12
Offset from the most stable computed form, meV per atom: 0
Symmetry: P4/mmm (123)

---

No. 10
Computed, not measured: an optimized crystal structure of PdCSCl2 at the PBE level of DFT.

```
PdCSCl2
1.0
4.8567 0.0000 0.0000
0.0000 4.8567 0.0000
0.0000 0.0000 4.6973
Pd C S Cl
1 1 1 2
Direct
0.0000 0.0000 0.0000
0.5000 0.5000 0.5000
0.0000 0.0000 0.5000
0.0000 0.5000 0.0000
0.5000 0.0000 0.0000
```

Calculated values
Total magnetization, μB/cell: 0.199
Final energy, eV/atom: -2.96
Calculated volume, Å³ per atom: 22.2
Raw formation energy, eV per atom: 1.49
Offset from the most stable computed form, meV per atom: 309
Symmetry: P4/mmm (123)

---

No. 11
Computed, not measured: an optimized crystal structure of TePdC2Cl at the PBE level of DFT.

```
TePdC2Cl
1.0
3.9203 0.0000 0.0000
0.0000 3.9203 0.0000
0.0000 0.0000 7.6166
Te Pd C Cl
1 1 2 1
Direct
0.0000 0.0000 0.0000
0.5000 0.5000 0.5000
0.0000 0.5000 0.5000
0.5000 0.0000 0.5000
0.5000 0.5000 0.0000
```

Calculated values
Total magnetization, μB/cell: 0.740
Final energy, eV/atom: -3.93
Calculated volume, Å³ per atom: 23.4
Raw formation energy, eV per atom: 1.79
Offset from the most stable computed form, meV per atom: 47
Symmetry: P4/mmm (123)

---

No. 12
Computed, not measured: an optimized crystal structure of TePdC2Cl at the PBE level of DFT.

```
TePdC2Cl
1.0
4.0135 0.0000 0.0000
0.0000 4.0135 0.0000
0.0000 0.0000 5.9088
Te Pd C Cl
1 1 2 1
Direct
0.0000 0.0000 0.0000
0.0000 0.0000 0.5000
0.0000 0.5000 0.5000
0.5000 0.0000 0.5000
0.5000 0.5000 0.0000
```

Calculated values
Total magnetization, μB/cell: 1.249
Final energy, eV/atom: -3.98
Calculated volume, Å³ per atom: 19.0
Raw formation energy, eV per atom: 1.75
Offset from the most stable computed form, meV per atom: 0
Symmetry: P4/mmm (123)